An optimized crystal structure of NdDyHo2. Source: Alexandria, functional PBE.

Values from the calculation:
The calculation puts the total energy at -4.501 eV per atom. The density of states at the Fermi level comes out at 32.9 states/eV per cell. The formation energy comes out at 131 meV per atom. For the volume, the calculation gives 32.504 Å³ per atom.

```
data_NdDyHo2
_symmetry_space_group_name_H-M 'F m -3 m'
_symmetry_Int_Tables_number 225
_symmetry_space_group_name_Hall '-F 4 2 3'
_cell_length_a 8.042
_cell_length_b 8.042
_cell_length_c 8.042
_cell_angle_alpha 90.00
_cell_angle_beta 90.00
_cell_angle_gamma 90.00
loop_
_atom_site_label
_atom_site_type_symbol
_atom_site_fract_x
_atom_site_fract_y
_atom_site_fract_z
_atom_site_occupancy
Nd1 Nd 0.000 0.000 0.000 1
Dy1 Dy 0.000 0.000 0.500 1
Ho1 Ho 0.250 0.250 0.250 1
```